Density functional theory data (GGA-PBE) for KInTc2 after structural relaxation.

Structure (CIF):
```
data_KInTc2
_cell_length_a 2.885
_cell_length_b 2.885
_cell_length_c 10.495
_cell_angle_alpha 90.00
_cell_angle_beta 90.00
_cell_angle_gamma 112.73
_space_group_name_H-M_alt 'P 1'
_space_group_IT_number 1
_space_group_name_Hall 'P 1'
loop_
_atom_site_label
_atom_site_type_symbol
_atom_site_fract_x
_atom_site_fract_y
_atom_site_fract_z
_atom_site_occupancy
Tc1 Tc 0.000 0.000 0.043 1
Tc2 Tc 0.500 0.500 0.230 1
K1 K 0.500 0.500 0.762 1
In1 In 0.000 0.000 0.465 1
```

Properties
E_form = 0.694 eV/atom
E = -5.448 eV/atom
space-group type = No. 35
DOS(E_F) = 4.15 states/eV per cell